[1]
The following is a DFT calculation (PBE) of a relaxed structure of PmY2Co6.

Lattice parameters (Å, degrees): 4.102 6.686 6.686 120.00 90.00 90.00
Last column: magnetic moment on the atom in μB.
Fractional coordinates of all 9 atoms:
1 Pm 0.000 0.000 0.000  -0.13
2 Y 0.000 0.333 0.667  -0.13
3 Y 0.000 0.667 0.333  -0.13
4 Co 0.500 0.335 0.335  0.86
5 Co 0.500 0.665 0.665  0.86
6 Co 0.500 0.000 0.665  0.86
7 Co 0.500 0.665 0.000  0.86
8 Co 0.500 0.335 0.000  0.86
9 Co 0.500 0.000 0.335  0.86

Results
space group = No. 191
M_tot = 0.491 μB/atom
E_form = -1.331 eV per formula unit
final energy = -6.85 eV/atom
D(E_F) = 0.7715 states/eV/atom


[2]
The following is a DFT calculation (PBE) of a relaxed structure of Hf2PaBe.

Lattice parameters (Å, degrees): 3.106 3.106 10.026 81.09 81.09 60.00
Fractional coordinates of all 4 atoms:
1 Be 0.500 0.500 0.500
2 Pa 0.000 0.000 0.000
3 Hf 0.104 0.104 0.689
4 Hf 0.896 0.896 0.311

Results
space group = No. 166
M_tot = 0.000 μB/atom
E_form = 1.499 eV per formula unit
polymorph energy (0 for the lowest one) = 0.3158 eV per atom
final energy = -7.91 eV/atom
D(E_F) = 1.1730 states/eV/atom


[3]
The following is a DFT calculation (PBE) of a relaxed structure of Tb8Th2Mg.

Lattice parameters (Å, degrees): 5.500 10.137 8.275 52.24 90.00 90.01
Fractional coordinates of all 11 atoms:
1 Tb 0.500 0.699 0.270
2 Tb 0.500 0.968 0.731
3 Tb 0.000 0.663 0.000
4 Tb 0.000 0.747 0.500
5 Tb 0.000 0.247 0.500
6 Tb 0.000 0.331 0.000
7 Tb 0.500 0.025 0.268
8 Tb 0.500 0.294 0.731
9 Th 0.500 0.376 0.241
10 Th 0.500 0.617 0.759
11 Mg 0.000 0.997 0.000

Results
space group = No. 65
M_tot = 0.000 μB/atom
E_form = 2.032 eV per formula unit
final energy = -4.68 eV/atom
D(E_F) = 1.5883 states/eV/atom


[4]
The following is a DFT calculation (PBE) of a relaxed structure of SrMg2Mo.

Lattice parameters (Å, degrees): 5.982 5.982 5.624 70.86 70.86 30.09
Fractional coordinates of all 4 atoms:
1 Mg 0.986 0.986 0.053
2 Mg 0.222 0.222 0.229
3 Mo 0.524 0.524 0.526
4 Sr 0.768 0.768 0.692

Results
space group = No. 8
M_tot = 0.000 μB/atom
E_form = 2.479 eV per formula unit
polymorph energy (0 for the lowest one) = 0.1311 eV per atom
final energy = -3.31 eV/atom
D(E_F) = 0.8380 states/eV/atom


[5]
The following is a DFT calculation (PBE) of a relaxed structure of Cs3SrV2Cl9.

Lattice parameters (Å, degrees): 7.443 7.443 9.181 90.00 90.00 120.00
Last column: magnetic moment on the atom in μB.
Fractional coordinates of all 15 atoms:
1 Cs 0.333 0.667 0.679  0.00
2 Cs 0.000 0.000 0.000  0.00
3 Cs 0.667 0.333 0.321  0.00
4 Sr 0.000 0.000 0.500  0.00
5 V 0.333 0.667 0.156  2.61
6 V 0.667 0.333 0.844  2.61
7 Cl 0.822 0.178 0.685  -0.01
8 Cl 0.822 0.644 0.685  -0.01
9 Cl 0.356 0.178 0.685  -0.01
10 Cl 0.644 0.822 0.315  -0.01
11 Cl 0.178 0.356 0.315  -0.01
12 Cl 0.178 0.822 0.315  -0.01
13 Cl 0.500 0.000 0.000  0.00
14 Cl 0.000 0.500 0.000  0.00
15 Cl 0.500 0.500 0.000  0.00

Results
space group = No. 164
uncorrected formation energy = -1.739 eV/atom
M_tot = 0.400 μB/atom
final energy = -4.35 eV/atom


[6]
The following is a DFT calculation (PBE) of a relaxed structure of Nd3Ho2Cd3.

Lattice parameters (Å, degrees): 3.768 5.510 11.762 103.55 99.22 90.00
Fractional coordinates of all 8 atoms:
1 Nd 0.624 0.624 0.249
2 Nd 0.376 0.376 0.751
3 Nd 0.500 0.000 0.000
4 Ho 0.735 0.235 0.470
5 Ho 0.265 0.765 0.530
6 Cd 0.121 0.121 0.242
7 Cd 0.000 0.500 0.000
8 Cd 0.879 0.879 0.758

Results
space group = No. 71
M_tot = 0.027 μB/atom
E_form = -1.876 eV per formula unit
final energy = -3.51 eV/atom
D(E_F) = 1.3695 states/eV/atom